Record 1
Below is crystalline Al2SbCl at its relaxed geometry, with properties calculated at the GGA-PBE level.

abc: 9.8382 9.8382 9.8382
angles: 20.04 20.04 20.04
With the nearest neighbours (Å) after each atom.
Atoms (fractional coordinates):
Al1 0.0000 0.0000 0.0000  3 Al 2.71, 3 Sb 2.86
Al2 0.2693 0.2693 0.2693  3 Cl 2.54, 3 Al 2.71
Sb1 0.7382 0.7382 0.7382  3 Al 2.86
Cl1 0.5474 0.5474 0.5474  3 Al 2.54

Computed properties:
Its final energy is -0.2667 Ry/atom. As for the uncorrected formation energy: -0.27 eV per atom. The density of states at the Fermi level comes out at 1.1 states/eV/cell. The value obtained for the calculated density is 3.6 g/cm3. The calculation puts the total magnetization at 0.000 μB/atom. For the distance to the lowest polymorph of the same formula, the calculation gives 0 meV/atom.



Record 2
Below is crystalline LiDyYFe at its relaxed geometry, with properties calculated at the GGA-PBE level.

abc: 4.8560 4.8560 4.8560
angles: 60.00 60.00 60.00
With the nearest neighbours (Å) after each atom.
Atoms (fractional coordinates):
Li1 0.0000 0.0000 0.0000  4 Dy 2.97, 4 Y 2.97
Dy1 0.7500 0.7500 0.7500  4 Fe 2.97, 4 Li 2.97
Y1 0.2500 0.2500 0.2500  4 Fe 2.97, 4 Li 2.97
Fe1 0.5000 0.5000 0.5000  4 Dy 2.97, 4 Y 2.97

Computed properties:
The calculation puts the calculated formation energy at 0.0946 eV/atom. Its final energy is -0.3870 Ry/atom. The density of states at the Fermi level comes out at 2.9 states/eV/cell. The value obtained for the calculated density is 6.4 g/cm3. The calculation puts the total magnetization at 0.000 μB/atom.



Record 3
Below is crystalline LiGdCoSb at its relaxed geometry, with properties calculated at the GGA-PBE level.

abc: 4.6102 4.6102 4.6102
angles: 60.00 60.00 60.00
With the nearest neighbours (Å) after each atom.
Atoms (fractional coordinates):
Li1 0.0000 0.0000 0.0000  4 Gd 2.82, 4 Sb 2.82
Gd1 0.2500 0.2500 0.2500  4 Co 2.82, 4 Li 2.82
Co1 0.5000 0.5000 0.5000  4 Gd 2.82, 4 Sb 2.82
Sb1 0.7500 0.7500 0.7500  4 Co 2.82, 4 Li 2.82

Computed properties:
Its final energy is -0.5381 Ry/atom. As for the uncorrected formation energy: -0.51 eV per atom. The value obtained for the calculated density is 8.3 g/cm3. The calculation puts the total magnetization at 1.754 μB/atom.